Entry 1:
Density functional theory data (GGA-PBE) for a relaxed PaBe6 crystal.

a b c (Å): 4.3959 7.6842 9.4259
angles (deg): 90.00 90.00 90.00
Element x y z (fractional)
Pa: 0.2500 0.2695 0.4456
Be: 0.2500 0.3000 0.7570
Be: 0.7500 0.9563 0.1170
Be: 0.7500 0.5665 0.0239
Be: 0.7500 0.4563 0.3830
Be: 0.4921 0.9317 0.3133
Be: 0.2500 0.9335 0.5239
Be: 0.2500 0.5437 0.6170
Be: 0.9921 0.5683 0.8133
Be: 0.2500 0.4335 0.9761
Be: 0.2500 0.1300 0.1522
Be: 0.0079 0.9317 0.3133
Pa: 0.2500 0.7695 0.0544
Be: 0.7500 0.2000 0.2570
Be: 0.2500 0.6300 0.3478
Pa: 0.7500 0.2305 0.9456
Be: 0.2500 0.8000 0.7430
Be: 0.7500 0.3700 0.6522
Be: 0.7500 0.0665 0.4761
Be: 0.9921 0.0683 0.6867
Be: 0.7500 0.7000 0.2430
Be: 0.2500 0.0437 0.8830
Be: 0.4921 0.4317 0.1867
Be: 0.5079 0.0683 0.6867
Be: 0.0079 0.4317 0.1867
Be: 0.7500 0.8700 0.8478
Pa: 0.7500 0.7305 0.5544
Be: 0.5079 0.5683 0.8133

Computed properties:
Final energy = -4.4637 eV/atom


Entry 2:
Density functional theory data (GGA-PBE) for a relaxed Pa3BePb crystal.

a b c (Å): 4.9770 4.9770 4.9770
angles (deg): 90.00 90.00 90.00
Element x y z (fractional)
Pa: 0.5000 0.0000 0.0000
Pb: 0.5000 0.5000 0.5000
Pa: 0.0000 0.0000 0.5000
Be: 0.0000 0.0000 0.0000
Pa: 0.0000 0.5000 0.0000

Computed properties:
Final energy = -6.7799 eV/atom


Entry 3:
Density functional theory data (GGA-PBE) for a relaxed PaBePd6 crystal.

a b c (Å): 5.5156 5.5156 5.6508
angles (deg): 103.88 103.88 117.47
Element x y z (fractional)
Pa: 0.0000 0.0000 0.0000
Pd: 0.0788 0.5069 0.2582
Pd: 0.2926 0.2926 0.7321
Pd: 0.9212 0.4931 0.7418
Pd: 0.5069 0.0788 0.2582
Pd: 0.7074 0.7074 0.2679
Be: 0.5000 0.5000 0.5000
Pd: 0.4931 0.9212 0.7418

Computed properties:
Final energy = -5.8801 eV/atom


Entry 4:
Density functional theory data (GGA-PBE) for a relaxed Pa3Be6Pd20 crystal.

a b c (Å): 8.4855 8.4855 8.4855
angles (deg): 60.00 60.00 60.00
Element x y z (fractional)
Pd: 0.0000 0.3391 0.6609
Pd: 0.0000 0.0000 0.6609
Pd: 0.3815 0.3815 0.3815
Pd: 0.1446 0.6185 0.6185
Be: 0.7265 0.2735 0.2735
Pd: 0.0000 0.6609 0.3391
Pd: 0.8554 0.3815 0.3815
Pd: 0.6185 0.1446 0.6185
Pd: 0.0000 0.3391 0.0000
Pa: 0.0000 0.0000 0.0000
Be: 0.2735 0.7265 0.7265
Pa: 0.2500 0.2500 0.2500
Be: 0.2735 0.2735 0.7265
Pd: 0.3815 0.8554 0.3815
Pd: 0.3391 0.6609 0.0000
Pd: 0.6609 0.0000 0.3391
Be: 0.7265 0.2735 0.7265
Pd: 0.0000 0.6609 0.0000
Be: 0.2735 0.7265 0.2735
Be: 0.7265 0.7265 0.2735
Pd: 0.0000 0.0000 0.3391
Pa: 0.7500 0.7500 0.7500
Pd: 0.3391 0.0000 0.0000
Pd: 0.6609 0.0000 0.0000
Pd: 0.3815 0.3815 0.8554
Pd: 0.6185 0.6185 0.6185
Pd: 0.6609 0.3391 0.0000
Pd: 0.3391 0.0000 0.6609
Pd: 0.6185 0.6185 0.1446

Computed properties:
Final energy = -5.9715 eV/atom


Entry 5:
Density functional theory data (GGA-PBE) for a relaxed Pa3Be2Pd5 crystal.

a b c (Å): 3.1976 10.5283 10.5283
angles (deg): 90.00 90.00 90.00
Last column: magnetic moment on the atom in μB.
Element x y z (fractional)
Pd: 0.5000 0.9345 0.2320  0.00
Pa: 0.0000 0.6792 0.1792  0.97
Pa: 0.0000 0.8208 0.6792  0.97
Pd: 0.5000 0.5655 0.7320  0.00
Be: 0.0000 0.8853 0.3853  0.00
Pd: 0.5000 0.2320 0.0655  0.00
Pd: 0.5000 0.7320 0.4345  0.00
Be: 0.0000 0.1147 0.6147  0.00
Pa: 0.0000 0.5000 0.5000  0.74
Pd: 0.5000 0.7680 0.9345  0.00
Pa: 0.0000 0.3208 0.8208  0.97
Pd: 0.5000 0.0000 0.5000  0.00
Be: 0.0000 0.3853 0.1147  0.00
Pd: 0.5000 0.2680 0.5655  0.00
Be: 0.0000 0.6147 0.8853  0.00
Pa: 0.0000 0.0000 0.0000  0.74
Pd: 0.5000 0.5000 0.0000  0.00
Pa: 0.0000 0.1792 0.3208  0.97
Pd: 0.5000 0.0655 0.7680  0.00
Pd: 0.5000 0.4345 0.2680  0.00

Computed properties:
Final energy = -6.6240 eV/atom


Entry 6:
Density functional theory data (GGA-PBE) for a relaxed PaBe3Pd10 crystal.

a b c (Å): 8.3940 8.3940 8.3940
angles (deg): 60.00 60.00 60.00
Element x y z (fractional)
Pd: 0.0000 0.0000 0.6622
Pd: 0.3378 0.0000 0.6622
Pd: 0.3815 0.8554 0.3815
Pd: 0.6622 0.3378 0.0000
Pd: 0.3815 0.3815 0.3815
Be: 0.2708 0.7292 0.7292
Pd: 0.6185 0.6185 0.6185
Pd: 0.8554 0.3815 0.3815
Pd: 0.1446 0.6185 0.6185
Pd: 0.6185 0.1446 0.6185
Pd: 0.6185 0.6185 0.1446
Be: 0.7292 0.7292 0.2708
Pd: 0.6622 0.0000 0.3378
Be: 0.2708 0.2708 0.7292
Pd: 0.0000 0.3378 0.0000
Pd: 0.0000 0.6622 0.3378
Pd: 0.3815 0.3815 0.8554
Pd: 0.0000 0.3378 0.6622
Be: 0.7292 0.2708 0.2708
Pa: 0.7500 0.7500 0.7500
Be: 0.7292 0.2708 0.7292
Pd: 0.6622 0.0000 0.0000
Pd: 0.0000 0.6622 0.0000
Pd: 0.0000 0.0000 0.3378
Be: 0.2708 0.7292 0.2708
Pd: 0.3378 0.0000 0.0000
Pa: 0.2500 0.2500 0.2500
Pd: 0.3378 0.6622 0.0000

Computed properties:
Final energy = -5.7035 eV/atom


Entry 7:
Density functional theory data (GGA-PBE) for a relaxed Pa2Be16Pd crystal.

a b c (Å): 5.9323 5.9323 5.9323
angles (deg): 82.89 82.89 82.89
Element x y z (fractional)
Be: 0.3373 0.3373 0.8449
Be: 0.9993 0.7202 0.2786
Be: 0.1583 0.6593 0.6593
Be: 0.7202 0.2786 0.9993
Be: 0.6593 0.6593 0.1583
Be: 0.0034 0.4935 0.0034
Be: 0.0034 0.0034 0.4935
Pa: 0.6550 0.6550 0.6550
Be: 0.7202 0.9993 0.2786
Pd: 0.9022 0.9022 0.9022
Be: 0.6593 0.1583 0.6593
Be: 0.2786 0.9993 0.7202
Pa: 0.3441 0.3441 0.3441
Be: 0.8449 0.3373 0.3373
Be: 0.9993 0.2786 0.7202
Be: 0.4935 0.0034 0.0034
Be: 0.3373 0.8449 0.3373
Be: 0.1057 0.1057 0.1057
Be: 0.2786 0.7202 0.9993

Computed properties:
Final energy = -4.5458 eV/atom


Entry 8:
Density functional theory data (GGA-PBE) for a relaxed Pa2BePd crystal.

a b c (Å): 3.0629 3.0629 9.9868
angles (deg): 81.18 81.18 60.00
Element x y z (fractional)
Be: 0.5000 0.5000 0.5000
Pa: 0.9081 0.9081 0.2758
Pd: 0.0000 0.0000 0.0000
Pa: 0.0919 0.0919 0.7242

Computed properties:
Final energy = -6.7484 eV/atom


Number 1: DFT formation energy 0.087 eV/atom. Number 2: DFT formation energy 0.405 eV/atom. Number 3: DFT formation energy -0.333 eV/atom. Number 4: DFT formation energy -0.637 eV/atom. Number 5: DFT formation energy -0.434 eV/atom. Number 6: DFT formation energy -0.518 eV/atom. Number 7: DFT formation energy -0.135 eV/atom. Number 8: DFT formation energy 0.229 eV/atom.